Here is crystalline LaSm4Dy10 at its relaxed geometry from the Alexandria database. Energies are from GGA-PBE.

a b c (Å): 6.570 9.676 9.676
angles (deg): 83.38 70.15 70.15
Sites, in units of the cell vectors:
La (0.000, 0.000, 0.000)
Sm (0.433, 0.893, 0.241)
Sm (0.674, 0.759, 0.893)
Sm (0.326, 0.241, 0.107)
Sm (0.567, 0.107, 0.759)
Dy (0.250, 0.500, 0.500)
Dy (0.620, 0.424, 0.836)
Dy (0.956, 0.164, 0.424)
Dy (0.544, 0.836, 0.576)
Dy (0.880, 0.576, 0.164)
Dy (0.380, 0.576, 0.164)
Dy (0.750, 0.500, 0.500)
Dy (0.120, 0.424, 0.836)
Dy (0.456, 0.164, 0.424)
Dy (0.044, 0.836, 0.576)

Results
- Formation energy: 546 meV per atom
- Total magnetization: 0.000 μB per cell
- N(E_F): 29.18 states/eV/f.u.
- Energy: -61.64 eV/cell
- Symmetry: I4/m


Here is crystalline LaSm2Dy2 at its relaxed geometry from the Alexandria database. Energies are from GGA-PBE.

a b c (Å): 9.508 9.508 3.805
angles (deg): 90.00 90.00 90.00
Sites, in units of the cell vectors:
La (0.000, 0.000, 0.000)
La (0.500, 0.500, 0.000)
Sm (0.373, 0.873, 0.000)
Sm (0.873, 0.627, 0.000)
Sm (0.627, 0.127, 0.000)
Sm (0.127, 0.373, 0.000)
Dy (0.170, 0.670, 0.500)
Dy (0.670, 0.830, 0.500)
Dy (0.830, 0.330, 0.500)
Dy (0.330, 0.170, 0.500)

Results
- Formation energy: 80 meV per atom
- Total magnetization: 0.005 μB per cell
- N(E_F): 5.90 states/eV/f.u.
- Energy: -46.34 eV/cell
- Symmetry: P4/mbm


Here is crystalline La2SmDy5 at its relaxed geometry from the Alexandria database. Energies are from GGA-PBE.

a b c (Å): 9.968 6.623 10.906
angles (deg): 119.91 117.19 90.00
Sites, in units of the cell vectors:
La (0.173, 0.456, 0.845)
La (0.672, 0.956, 0.845)
La (0.827, 0.544, 0.155)
La (0.328, 0.044, 0.155)
Sm (0.000, 0.000, 0.500)
Sm (0.500, 0.500, 0.500)
Dy (0.483, 0.449, 0.798)
Dy (0.934, 0.750, 0.000)
Dy (0.066, 0.250, 0.000)
Dy (0.893, 0.634, 0.606)
Dy (0.107, 0.366, 0.394)
Dy (0.712, 0.134, 0.606)
Dy (0.288, 0.866, 0.394)
Dy (0.517, 0.551, 0.202)
Dy (0.315, 0.949, 0.798)
Dy (0.685, 0.051, 0.202)

Results
- Formation energy: 170 meV per atom
- Total magnetization: 0.000 μB per cell
- N(E_F): 12.32 states/eV/f.u.
- Energy: -72.44 eV/cell
- Symmetry: C2/c


Here is crystalline La3Sm2Dy6 at its relaxed geometry from the Alexandria database. Energies are from GGA-PBE.

a b c (Å): 5.898 6.511 11.844
angles (deg): 80.13 67.76 63.07
Sites, in units of the cell vectors:
La (0.000, 0.000, 0.000)
La (0.315, 0.369, 0.000)
La (0.685, 0.631, 0.000)
Sm (0.139, 0.722, 0.500)
Sm (0.861, 0.278, 0.500)
Dy (0.504, 0.689, 0.709)
Dy (0.808, 0.000, 0.767)
Dy (0.194, 0.311, 0.709)
Dy (0.192, 0.000, 0.233)
Dy (0.496, 0.311, 0.291)
Dy (0.806, 0.689, 0.291)

Results
- Formation energy: 161 meV per atom
- Total magnetization: 0.000 μB per cell
- N(E_F): 16.51 states/eV/f.u.
- Energy: -50.07 eV/cell
- Symmetry: C2/m


Here is crystalline La4Sm3Dy2 at its relaxed geometry from the Alexandria database. Energies are from GGA-PBE.

a b c (Å): 3.715 6.788 14.829
angles (deg): 64.23 90.00 105.88
Sites, in units of the cell vectors:
La (0.651, 0.302, 0.128)
La (0.112, 0.225, 0.605)
La (0.888, 0.775, 0.395)
La (0.349, 0.698, 0.872)
Sm (0.382, 0.763, 0.614)
Sm (0.000, 0.000, 0.000)
Sm (0.618, 0.237, 0.386)
Dy (0.341, 0.682, 0.210)
Dy (0.659, 0.318, 0.790)

Results
- Formation energy: 86 meV per atom
- Total magnetization: 0.000 μB per cell
- N(E_F): 14.29 states/eV/f.u.
- Energy: -42.29 eV/cell
- Symmetry: C2/m


Here is crystalline La3SmDy3 at its relaxed geometry from the Alexandria database. Energies are from GGA-PBE.

a b c (Å): 5.844 9.793 9.793
angles (deg): 120.00 90.00 90.00
Sites, in units of the cell vectors:
La (0.750, 0.624, 0.528)
La (0.750, 0.472, 0.096)
La (0.750, 0.904, 0.376)
La (0.250, 0.376, 0.472)
La (0.250, 0.528, 0.904)
La (0.250, 0.096, 0.624)
Sm (0.250, 0.667, 0.333)
Sm (0.750, 0.333, 0.667)
Dy (0.250, 0.814, 0.769)
Dy (0.250, 0.231, 0.045)
Dy (0.250, 0.955, 0.186)
Dy (0.750, 0.186, 0.231)
Dy (0.750, 0.769, 0.955)
Dy (0.750, 0.045, 0.814)

Results
- Formation energy: 37 meV per atom
- Total magnetization: 0.000 μB per cell
- N(E_F): 13.15 states/eV/f.u.
- Energy: -66.09 eV/cell
- Symmetry: P6_3/m